No. 1
The following is a DFT calculation (PBE) of a geometry-optimized TlZnSe2O8 structure.

Results
The size of the total moment comes out at 0.00 μB/f.u. As for the space-group type: R-3 (148). For the formation energy (no corrections), the calculation gives -694 meV per atom.

a = 5.0483 Å, b = 5.0483 Å, c = 8.3213 Å
α = 72.34°, β = 72.34°, γ = 60.00°
Fractional coordinates of all 12 atoms:
O 0.8142 0.8142 0.5575
O 0.6041 0.2643 0.1648
O 0.1858 0.1858 0.4425
O 0.2643 0.9668 0.1648
O 0.9668 0.6041 0.1648
O 0.0332 0.3959 0.8352
O 0.7357 0.0332 0.8352
O 0.3959 0.7357 0.8352
Se 0.2587 0.2587 0.2240
Se 0.7413 0.7413 0.7760
Tl 0.5000 0.5000 0.5000
Zn 0.0000 0.0000 0.0000

No. 2
The following is a DFT calculation (PBE) of a geometry-optimized SrGa3Br structure.

Results
The size of the total moment comes out at 1.13 μB/f.u. As for the space-group type: Pm-3m (221). For the formation energy (no corrections), the calculation gives 649 meV per atom.

a = 6.1455 Å, b = 6.1455 Å, c = 6.1455 Å
α = 90.00°, β = 90.00°, γ = 90.00°
Fractional coordinates of all 5 atoms:
Ga 0.0000 0.0000 0.5000
Ga 0.0000 0.5000 0.0000
Ga 0.5000 0.0000 0.0000
Br 0.5000 0.5000 0.5000
Sr 0.0000 0.0000 0.0000

No. 3
The following is a DFT calculation (PBE) of a geometry-optimized PmPr2Sm6Ho structure.

Results
As for the calculated formation energy: 0.115 eV per atom. The size of the total moment comes out at 0.00 μB/f.u. As for the space-group type: C2/c (15).

a = 9.8890 Å, b = 8.9254 Å, c = 8.9254 Å
α = 118.00°, β = 94.52°, γ = 94.52°
Fractional coordinates of all 20 atoms:
Sm 0.8802 0.2946 0.5051
Sm 0.3118 0.9825 0.4263
Sm 0.0561 0.1219 0.7448
Sm 0.1882 0.5737 0.0175
Sm 0.8118 0.4263 0.9825
Sm 0.1198 0.7054 0.4949
Sm 0.5561 0.7448 0.1219
Sm 0.4439 0.2552 0.8781
Sm 0.9439 0.8781 0.2552
Sm 0.6198 0.4949 0.7054
Sm 0.3802 0.5051 0.2946
Sm 0.6882 0.0175 0.5737
Pr 0.0421 0.2959 0.1953
Pr 0.9579 0.7041 0.8047
Pr 0.5421 0.1953 0.2959
Pr 0.4579 0.8047 0.7041
Pm 0.2500 0.9825 0.0175
Pm 0.7500 0.0175 0.9825
Ho 0.7500 0.5925 0.4075
Ho 0.2500 0.4075 0.5925

No. 4
The following is a DFT calculation (PBE) of a geometry-optimized KBe2Re structure.

Results
As for the calculated formation energy: 1.611 eV per atom. The size of the total moment comes out at 0.00 μB/f.u. As for the space-group type: I-4m2 (119).

a = 5.1685 Å, b = 5.1685 Å, c = 5.1685 Å
α = 138.20°, β = 138.20°, γ = 60.60°
Fractional coordinates of all 4 atoms:
Be 0.0000 0.0000 0.0000
Be 0.2500 0.7500 0.5000
K 0.5000 0.5000 0.0000
Re 0.7500 0.2500 0.5000

No. 5
The following is a DFT calculation (PBE) of a geometry-optimized YZr2AsH structure.

Results
The size of the total moment comes out at 0.00 μB/f.u. As for the space-group type: P4/mmm (123). The value obtained for the calculated total energy is -6.0415 eV per atom.

a = 5.4579 Å, b = 3.5598 Å, c = 5.4579 Å
α = 90.00°, β = 90.00°, γ = 90.00°
Fractional coordinates of all 5 atoms:
As 0.0000 0.0000 0.0000
H 0.0000 0.5000 0.0000
Zr 0.0000 0.0000 0.5000
Zr 0.5000 0.0000 0.0000
Y 0.5000 0.5000 0.5000

No. 6
The following is a DFT calculation (PBE) of a geometry-optimized ScPa3N2O6 structure.

Results
The size of the total moment comes out at 0.00 μB/f.u. As for the space-group type: C2/m (12). For the formation energy (no corrections), the calculation gives -2925 meV per atom.

a = 4.5740 Å, b = 6.9656 Å, c = 6.6432 Å
α = 121.62°, β = 91.14°, γ = 90.00°
Fractional coordinates of all 12 atoms:
N 0.2636 0.6641 0.3283
N 0.7364 0.3359 0.6717
Pa 0.5000 0.0000 0.5000
Pa 0.5000 0.5000 0.5000
Pa 0.0000 0.5000 0.0000
Sc 0.5000 0.0000 0.0000
O 0.7410 0.8366 0.1644
O 0.6975 0.8380 0.6760
O 0.2590 0.1635 0.8356
O 0.3025 0.1620 0.3240
O 0.7410 0.3278 0.1644
O 0.2590 0.6722 0.8356

No. 7
The following is a DFT calculation (PBE) of a geometry-optimized Cs2TiHgCl6 structure.

Results
The size of the total moment comes out at 0.00 μB/f.u. As for the space-group type: Fm-3m (225). For the formation energy (no corrections), the calculation gives -1592 meV per atom.

a = 8.0073 Å, b = 8.0073 Å, c = 8.0089 Å
α = 60.01°, β = 60.01°, γ = 90.00°
Fractional coordinates of all 10 atoms:
Ti 0.5000 0.5000 0.0000
Cl 0.2912 0.2912 0.0000
Cl 0.7088 0.7088 0.5825
Cl 0.7088 0.2912 0.0000
Cl 0.2912 0.7088 0.0000
Cl 0.2912 0.2912 0.4175
Cl 0.7088 0.7088 0.0000
Cs 0.7500 0.2500 0.5000
Cs 0.2500 0.7500 0.5000
Hg 0.0000 0.0000 0.0000

No. 8
The following is a DFT calculation (PBE) of a geometry-optimized Ho8FeNi2 structure.

Results
As for the calculated formation energy: -0.131 eV per atom. The size of the total moment comes out at 0.00 μB/f.u. As for the space-group type: C2/m (12).

a = 4.9756 Å, b = 6.5754 Å, c = 8.7766 Å
α = 106.02°, β = 106.47°, γ = 90.00°
Fractional coordinates of all 11 atoms:
Ho 0.6684 0.9733 0.3367
Ho 0.7997 0.6799 0.5994
Ho 0.0346 0.7960 0.0693
Ho 0.4088 0.5602 0.8176
Ho 0.5912 0.4398 0.1824
Ho 0.9654 0.2040 0.9307
Ho 0.3316 0.0267 0.6633
Ho 0.2003 0.3201 0.4006
Fe 0.5000 0.0000 0.0000
Ni 0.1876 0.7122 0.3752
Ni 0.8124 0.2878 0.6248

No. 9
The following is a DFT calculation (PBE) of a geometry-optimized NaCdGa structure.

Results
As for the calculated formation energy: 0.010 eV per atom. The size of the total moment comes out at 0.00 μB/f.u. As for the space-group type: Cmcm (63).

a = 5.0426 Å, b = 5.0426 Å, c = 6.0449 Å
α = 90.00°, β = 90.00°, γ = 116.24°
Fractional coordinates of all 6 atoms:
Na 0.7833 0.0811 0.7500
Na 0.0811 0.7833 0.2500
Ga 0.7352 0.1298 0.2500
Ga 0.1298 0.7352 0.7500
Cd 0.4323 0.4323 0.5000
Cd 0.4323 0.4323 0.0000

No. 10
The following is a DFT calculation (PBE) of a geometry-optimized FeOs2Rh structure.

Results
As for the calculated formation energy: 0.111 eV per atom. The size of the total moment comes out at 2.11 μB/f.u. As for the space-group type: I-4m2 (119).

a = 4.6352 Å, b = 4.6352 Å, c = 4.6352 Å
α = 131.58°, β = 131.58°, γ = 70.90°
Fractional coordinates of all 4 atoms:
Fe 0.7500 0.2500 0.5000
Os 0.0000 0.0000 0.0000
Os 0.2500 0.7500 0.5000
Rh 0.5000 0.5000 0.0000